The following is a GGA+U calculation of Na9FeMo6O24 after structural relaxation, from Alexandria via LeMat-Bulk.

Unit cell a=10.8936 b=10.8936 c=10.8936 alpha=87.96 beta=87.96 gamma=87.96
Positions (direct):
1 Na 0.0209 0.4676 0.2545
2 Na 0.0500 0.8208 0.2758
3 Na 0.1792 0.7242 0.9500
4 Na 0.2169 0.6766 0.4574
5 Na 0.2545 0.0209 0.4676
6 Na 0.2758 0.0500 0.8208
7 Na 0.3234 0.5426 0.7831
8 Na 0.4574 0.2169 0.6766
9 Na 0.4676 0.2545 0.0209
10 Na 0.5324 0.7455 0.9791
11 Na 0.5426 0.7831 0.3234
12 Na 0.6766 0.4574 0.2169
13 Na 0.7242 0.9500 0.1792
14 Na 0.7455 0.9791 0.5324
15 Na 0.7831 0.3234 0.5426
16 Na 0.8208 0.2758 0.0500
17 Na 0.9500 0.1792 0.7242
18 Na 0.9791 0.5324 0.7455
19 Fe 0.2517 0.2517 0.2517
20 Fe 0.7483 0.7483 0.7483
21 Mo 0.0422 0.8685 0.6669
22 Mo 0.1315 0.3331 0.9578
23 Mo 0.1691 0.3659 0.5474
24 Mo 0.3331 0.9578 0.1315
25 Mo 0.3659 0.5474 0.1691
26 Mo 0.4526 0.8309 0.6341
27 Mo 0.5474 0.1691 0.3659
28 Mo 0.6341 0.4526 0.8309
29 Mo 0.6669 0.0422 0.8685
30 Mo 0.8309 0.6341 0.4526
31 Mo 0.8685 0.6669 0.0422
32 Mo 0.9578 0.1315 0.3331
33 O 0.0054 0.7346 0.0890
34 O 0.0120 0.3620 0.6039
35 O 0.0890 0.0054 0.7346
36 O 0.1020 0.8669 0.5108
37 O 0.1045 0.7373 0.7471
38 O 0.1268 0.1341 0.3258
39 O 0.1331 0.4892 0.8980
40 O 0.1341 0.3258 0.1268
41 O 0.1781 0.3678 0.3783
42 O 0.2310 0.5048 0.5972
43 O 0.2368 0.6101 0.2519
44 O 0.2519 0.2368 0.6101
45 O 0.2529 0.8955 0.2627
46 O 0.2627 0.2529 0.8955
47 O 0.2654 0.9110 0.9946
48 O 0.3258 0.1268 0.1341
49 O 0.3620 0.6039 0.0120
50 O 0.3678 0.3783 0.1781
51 O 0.3783 0.1781 0.3678
52 O 0.3899 0.7481 0.7632
53 O 0.3961 0.9880 0.6380
54 O 0.4028 0.7690 0.4952
55 O 0.4892 0.8980 0.1331
56 O 0.4952 0.4028 0.7690
57 O 0.5048 0.5972 0.2310
58 O 0.5108 0.1020 0.8669
59 O 0.5972 0.2310 0.5048
60 O 0.6039 0.0120 0.3620
61 O 0.6101 0.2519 0.2368
62 O 0.6217 0.8219 0.6322
63 O 0.6322 0.6217 0.8219
64 O 0.6380 0.3961 0.9880
65 O 0.6742 0.8732 0.8659
66 O 0.7346 0.0890 0.0054
67 O 0.7373 0.7471 0.1045
68 O 0.7471 0.1045 0.7373
69 O 0.7481 0.7632 0.3899
70 O 0.7632 0.3899 0.7481
71 O 0.7690 0.4952 0.4028
72 O 0.8219 0.6322 0.6217
73 O 0.8659 0.6742 0.8732
74 O 0.8669 0.5108 0.1020
75 O 0.8732 0.8659 0.6742
76 O 0.8955 0.2627 0.2529
77 O 0.8980 0.1331 0.4892
78 O 0.9110 0.9946 0.2654
79 O 0.9880 0.6380 0.3961
80 O 0.9946 0.2654 0.9110

Output
SG: R-3
Density of states at the Fermi level (states/eV per atom): 0.00
VASP energy (eV per atom): -6.259

---

The following is a GGA+U calculation of NaFe2Mo2O10 after structural relaxation, from Alexandria via LeMat-Bulk.

Unit cell a=5.8084 b=5.8084 c=8.1700 alpha=112.66 beta=112.66 gamma=61.92
Positions (direct):
1 Na 0.0000 0.0000 0.0000
2 Fe 0.0000 0.5000 0.5000
3 Fe 0.5000 0.0000 0.5000
4 Mo 0.4273 0.4273 0.2355
5 Mo 0.5727 0.5727 0.7645
6 O 0.1845 0.1845 0.5799
7 O 0.2167 0.6981 0.7451
8 O 0.2769 0.2769 0.0190
9 O 0.3019 0.7833 0.2549
10 O 0.3414 0.3414 0.4026
11 O 0.6586 0.6586 0.5974
12 O 0.6981 0.2167 0.7451
13 O 0.7231 0.7231 0.9810
14 O 0.7833 0.3019 0.2549
15 O 0.8155 0.8155 0.4201

Output
SG: C2/m
Density of states at the Fermi level (states/eV per atom): 0.28
VASP energy (eV per atom): -6.503

---

The following is a GGA+U calculation of NaFe2MoO6 after structural relaxation, from Alexandria via LeMat-Bulk.

Unit cell a=7.5494 b=7.5494 c=6.2906 alpha=106.82 beta=106.82 gamma=102.18
Positions (direct):
1 Na 0.0959 0.9041 0.7500
2 Na 0.9041 0.0959 0.2500
3 Fe 0.3138 0.4529 0.8373
4 Fe 0.4529 0.3138 0.3373
5 Fe 0.5471 0.6862 0.6627
6 Fe 0.6862 0.5471 0.1627
7 Mo 0.1882 0.8118 0.2500
8 Mo 0.8118 0.1882 0.7500
9 O 0.0338 0.2205 0.6898
10 O 0.1670 0.6272 0.9811
11 O 0.2205 0.0338 0.1898
12 O 0.3113 0.4332 0.5192
13 O 0.3728 0.8330 0.5189
14 O 0.4332 0.3113 0.0192
15 O 0.5668 0.6887 0.9808
16 O 0.6272 0.1670 0.4811
17 O 0.6887 0.5668 0.4808
18 O 0.7795 0.9662 0.8102
19 O 0.8330 0.3728 0.0189
20 O 0.9662 0.7795 0.3102

Output
SG: C2/c
VASP energy (eV per atom): -6.425

---

The following is a GGA+U calculation of Na3FeMo3O8 after structural relaxation, from Alexandria via LeMat-Bulk.

Unit cell a=6.4159 b=6.4159 c=6.6196 alpha=119.00 beta=119.00 gamma=59.18
Positions (direct):
1 Na 0.0000 0.0000 0.0000
2 Na 0.0000 0.5000 0.0000
3 Na 0.5000 0.0000 0.0000
4 Fe 0.0000 0.0000 0.5000
5 Mo 0.0000 0.5000 0.5000
6 Mo 0.5000 0.0000 0.5000
7 Mo 0.5000 0.5000 0.5000
8 O 0.2160 0.2160 0.6899
9 O 0.2397 0.7332 0.6940
10 O 0.2665 0.2665 0.2904
11 O 0.2668 0.7603 0.3060
12 O 0.7332 0.2397 0.6940
13 O 0.7335 0.7335 0.7096
14 O 0.7603 0.2668 0.3060
15 O 0.7840 0.7840 0.3101

Output
SG: C2/m
VASP energy (eV per atom): -6.347

---

The following is a GGA+U calculation of Na2FeMoO6 after structural relaxation, from Alexandria via LeMat-Bulk.

Unit cell a=5.5385 b=5.5385 c=5.5385 alpha=59.79 beta=59.79 gamma=59.79
Positions (direct):
1 Na 0.2503 0.2503 0.2503
2 Na 0.7497 0.7497 0.7497
3 Fe 0.0000 0.0000 0.0000
4 Mo 0.5000 0.5000 0.5000
5 O 0.2112 0.2984 0.7449
6 O 0.2551 0.7888 0.7016
7 O 0.2984 0.7449 0.2112
8 O 0.7016 0.2551 0.7888
9 O 0.7449 0.2112 0.2984
10 O 0.7888 0.7016 0.2551

Output
SG: R-3
Density of states at the Fermi level (states/eV per atom): 0.49
VASP energy (eV per atom): -6.010

---

The following is a GGA+U calculation of NaFeMo2O8 after structural relaxation, from Alexandria via LeMat-Bulk.

Unit cell a=5.6897 b=5.6897 c=14.0018 alpha=90.20 beta=90.20 gamma=56.53
Positions (direct):
1 Na 0.0712 0.9288 0.7500
2 Na 0.9288 0.0712 0.2500
3 Fe 0.0000 0.0000 0.0000
4 Fe 0.0000 0.0000 0.5000
5 Mo 0.2930 0.3602 0.1172
6 Mo 0.3602 0.2930 0.6172
7 Mo 0.6398 0.7070 0.3828
8 Mo 0.7070 0.6398 0.8828
9 O 0.0599 0.2465 0.0846
10 O 0.1001 0.7455 0.1153
11 O 0.2132 0.5879 0.5377
12 O 0.2408 0.4301 0.7317
13 O 0.2465 0.0599 0.5846
14 O 0.2545 0.8999 0.3847
15 O 0.4121 0.7868 0.9623
16 O 0.4301 0.2408 0.2317
17 O 0.5699 0.7592 0.7683
18 O 0.5879 0.2132 0.0377
19 O 0.7455 0.1001 0.6153
20 O 0.7535 0.9401 0.4154
21 O 0.7592 0.5699 0.2683
22 O 0.7868 0.4121 0.4623
23 O 0.8999 0.2545 0.8847
24 O 0.9401 0.7535 0.9154

Output
SG: C2/c
Density of states at the Fermi level (states/eV per atom): 0.00
Energy above the most stable polymorph in this dataset (eV per atom): 0.000

---

The following is a GGA+U calculation of NaFeMo2O8 after structural relaxation, from Alexandria via LeMat-Bulk.

Unit cell a=5.9365 b=5.9365 c=5.9365 alpha=106.84 beta=106.84 gamma=114.87
Positions (direct):
1 Na 0.0000 0.0000 0.0000
2 Fe 0.2500 0.7500 0.5000
3 Mo 0.5000 0.5000 0.0000
4 Mo 0.7500 0.2500 0.5000
5 O 0.3412 0.1302 0.7890
6 O 0.3412 0.5521 0.2110
7 O 0.3753 0.0667 0.3086
8 O 0.4479 0.6588 0.7890
9 O 0.7581 0.0667 0.6914
10 O 0.8698 0.6588 0.2110
11 O 0.9333 0.2419 0.3086
12 O 0.9333 0.6247 0.6914

Output
SG: I-4m2
Density of states at the Fermi level (states/eV per atom): 0.00
Energy above the most stable polymorph in this dataset (eV per atom): 0.182

---

The following is a GGA+U calculation of Na2FeMoO4 after structural relaxation, from Alexandria via LeMat-Bulk.

Unit cell a=5.5348 b=3.1887 c=5.7420 alpha=90.00 beta=109.59 gamma=90.00
Positions (direct):
1 Na 0.0000 0.0000 0.0000
2 Na 0.5000 0.5000 0.0000
3 Fe 0.0000 0.5000 0.5000
4 Mo 0.5000 0.0000 0.5000
5 O 0.2493 0.0000 0.6950
6 O 0.2783 0.5000 0.2854
7 O 0.7217 0.5000 0.7146
8 O 0.7507 0.0000 0.3050

Output
SG: P2/m
VASP energy (eV per atom): -6.033